No. 1
# LiCrReN3, optimized geometry, DFT PBE
data_LiCrReN3
_chemical_formula_sum 'Li4 Cr4 Re4 N12'
_cell_length_a 2.7362
_cell_length_b 10.5799
_cell_length_c 11.2128
_cell_angle_alpha 90.00
_cell_angle_beta 90.00
_cell_angle_gamma 90.00
_space_group_name_H-M_alt 'C m c m'
_space_group_IT_number 63
_space_group_name_Hall '-C 2c 2'
loop_
_atom_site_label
_atom_site_fract_x
_atom_site_fract_y
_atom_site_fract_z
Li1 0.0000 0.0000 0.0000
Cr1 0.0000 0.3811 0.2500
Re1 0.0000 0.1050 0.2500
N1 0.0000 0.2456 0.7500
N2 0.0000 0.4822 0.6402
# ΔE_f (raw): -170 meV per atom

***

No. 2
# Sr4TeI5, optimized geometry, DFT PBE
data_Sr4TeI5
_chemical_formula_sum 'Sr8 Te2 I10'
_cell_length_a 20.6293
_cell_length_b 4.7337
_cell_length_c 9.3580
_cell_angle_alpha 90.00
_cell_angle_beta 103.99
_cell_angle_gamma 90.00
_space_group_name_H-M_alt 'C 1 2/m 1'
_space_group_IT_number 12
loop_
_space_group_symop_operation_xyz
'x,y,z'
'-x,-y,-z'
'-x,y,-z'
'x,-y,z'
'x+1/2,y+1/2,z'
'-x+1/2,-y+1/2,-z'
'-x+1/2,y+1/2,-z'
'x+1/2,-y+1/2,z'
loop_
_atom_site_label
_atom_site_fract_x
_atom_site_fract_y
_atom_site_fract_z
Sr1 0.0017 0.0000 0.2439
Sr2 0.1638 0.5000 0.0944
Te1 0.0000 0.5000 0.0000
I1 0.0000 0.5000 0.5000
I2 0.1664 0.0000 0.3388
I3 0.1680 0.0000 0.8400
# ΔE_f (raw): -1588 meV per atom

***

No. 3
# Pr4ScCd3, optimized geometry, DFT PBE
data_Pr4ScCd3
_chemical_formula_sum 'Pr4 Sc1 Cd3'
_cell_length_a 3.7850
_cell_length_b 5.5484
_cell_length_c 11.2028
_cell_angle_alpha 90.00
_cell_angle_beta 90.00
_cell_angle_gamma 90.00
_space_group_name_H-M_alt 'P m m m'
_space_group_IT_number 47
loop_
_space_group_symop_operation_xyz
'x,y,z'
'-x,-y,-z'
'-x,-y,z'
'x,y,-z'
'x,-y,-z'
'-x,y,z'
'-x,y,-z'
'x,-y,z'
loop_
_atom_site_label
_atom_site_fract_x
_atom_site_fract_y
_atom_site_fract_z
Pr1 0.0000 0.0000 0.0000
Pr2 0.0000 0.0000 0.5000
Pr3 0.0000 0.5000 0.2456
Sc1 0.5000 0.5000 0.5000
Cd1 0.5000 0.0000 0.2552
Cd2 0.5000 0.5000 0.0000
# Calculated formation energy: -0.20 eV/atom

***

No. 4
# SrGa, optimized geometry, DFT PBE
data_SrGa
_chemical_formula_sum 'Sr16 Ga16'
_cell_length_a 7.9060
_cell_length_b 10.4162
_cell_length_c 12.7313
_cell_angle_alpha 90.00
_cell_angle_beta 90.00
_cell_angle_gamma 90.00
_space_group_name_H-M_alt 'F d d d'
_space_group_IT_number 70
loop_
_space_group_symop_operation_xyz
'x,y,z'
'-x,-y,-z'
'-x+1/4,-y+1/4,z'
'x+1/4,y+1/4,-z'
'x,-y+1/4,-z+1/4'
'-x,y+1/4,z+1/4'
'-x+1/4,y,-z+1/4'
'x+1/4,-y,z+1/4'
'x,y+1/2,z+1/2'
'-x,-y+1/2,-z+1/2'
'-x+1/4,-y+3/4,z+1/2'
'x+1/4,y+3/4,-z+1/2'
'x,-y+3/4,-z+3/4'
'-x,y+3/4,z+3/4'
'-x+1/4,y+1/2,-z+3/4'
'x+1/4,-y+1/2,z+3/4'
'x+1/2,y,z+1/2'
'-x+1/2,-y,-z+1/2'
'-x+3/4,-y+1/4,z+1/2'
'x+3/4,y+1/4,-z+1/2'
'x+1/2,-y+1/4,-z+3/4'
'-x+1/2,y+1/4,z+3/4'
'-x+3/4,y,-z+3/4'
'x+3/4,-y,z+3/4'
'x+1/2,y+1/2,z'
'-x+1/2,-y+1/2,-z'
'-x+3/4,-y+3/4,z'
'x+3/4,y+3/4,-z'
'x+1/2,-y+3/4,-z+1/4'
'-x+1/2,y+3/4,z+1/4'
'-x+3/4,y+1/2,-z+1/4'
'x+3/4,-y+1/2,z+1/4'
loop_
_atom_site_label
_atom_site_fract_x
_atom_site_fract_y
_atom_site_fract_z
Sr1 0.1250 0.3240 0.1250
Ga1 0.0328 0.3750 0.8750
# Calculated formation energy: -0.30 eV/atom

***

No. 5
# Cu3P, optimized geometry, DFT PBE
data_Cu3P
_chemical_formula_sum 'Cu3 P1'
_cell_length_a 2.7827
_cell_length_b 3.5017
_cell_length_c 5.0673
_cell_angle_alpha 90.00
_cell_angle_beta 90.00
_cell_angle_gamma 90.00
_space_group_name_H-M_alt 'P m m m'
_space_group_IT_number 47
loop_
_space_group_symop_operation_xyz
'x,y,z'
'-x,-y,-z'
'-x,-y,z'
'x,y,-z'
'x,-y,-z'
'-x,y,z'
'-x,y,-z'
'x,-y,z'
loop_
_atom_site_label
_atom_site_fract_x
_atom_site_fract_y
_atom_site_fract_z
Cu1 0.0000 0.0000 0.0000
Cu2 0.5000 0.5000 0.2515
P1 0.0000 0.0000 0.5000
# Calculated formation energy: 0.08 eV/atom

***

No. 6
K2NaHBr: optimized geometry, PBE.

```
data_K2NaHBr
_chemical_formula_sum 'K2 Na1 H1 Br1'
_cell_length_a 5.6899
_cell_length_b 5.6899
_cell_length_c 4.7594
_cell_angle_alpha 90.00
_cell_angle_beta 90.00
_cell_angle_gamma 90.00
_space_group_name_H-M_alt 'P 4/m m m'
_space_group_IT_number 123
_space_group_name_Hall '-P 4 2'
loop_
_atom_site_label
_atom_site_fract_x
_atom_site_fract_y
_atom_site_fract_z
K1 0.0000 0.5000 0.0000
Na1 0.0000 0.0000 0.5000
H1 0.0000 0.0000 0.0000
Br1 0.5000 0.5000 0.5000
```

***

No. 7
# BaCrPd2Br, optimized geometry, DFT PBE
data_BaCrPd2Br
_chemical_formula_sum 'Ba1 Cr1 Pd2 Br1'
_cell_length_a 5.4849
_cell_length_b 5.4849
_cell_length_c 6.0481
_cell_angle_alpha 90.00
_cell_angle_beta 90.00
_cell_angle_gamma 90.00
_space_group_name_H-M_alt 'P 4/m m m'
_space_group_IT_number 123
_space_group_name_Hall '-P 4 2'
loop_
_atom_site_label
_atom_site_fract_x
_atom_site_fract_y
_atom_site_fract_z
Ba1 0.0000 0.0000 0.0000
Cr1 0.5000 0.5000 0.5000
Pd1 0.0000 0.5000 0.0000
Br1 0.0000 0.0000 0.5000
# ΔE_f (raw): 765 meV per atom

***

No. 8
# Tb5Ho4Th4, optimized geometry, DFT PBE
data_Tb5Ho4Th4
_chemical_formula_sum 'Tb10 Ho8 Th8'
_cell_length_a 12.8262
_cell_length_b 12.8262
_cell_length_c 5.0391
_cell_angle_alpha 90.00
_cell_angle_beta 90.00
_cell_angle_gamma 90.00
_space_group_name_H-M_alt 'I 4/m'
_space_group_IT_number 87
_space_group_name_Hall '-I 4'
loop_
_atom_site_label
_atom_site_fract_x
_atom_site_fract_y
_atom_site_fract_z
Tb1 0.0000 0.0000 0.0000
Tb2 0.0384 0.1948 0.5000
Ho1 0.1531 0.7668 0.0000
Th1 0.0749 0.3858 0.0000
# Calculated formation energy: 0.03 eV/atom

***

No. 9
# Nb6V2Os, optimized geometry, DFT PBE
data_Nb6V2Os
_chemical_formula_sum 'Nb12 V4 Os2'
_cell_length_a 4.3625
_cell_length_b 6.1398
_cell_length_c 13.0225
_cell_angle_alpha 90.00
_cell_angle_beta 90.00
_cell_angle_gamma 90.00
_space_group_name_H-M_alt 'I m m m'
_space_group_IT_number 71
_space_group_name_Hall '-I 2 2'
loop_
_atom_site_label
_atom_site_fract_x
_atom_site_fract_y
_atom_site_fract_z
Nb1 0.0000 0.2440 0.0000
Nb2 0.0000 0.2526 0.3314
V1 0.0000 0.0000 0.1654
Os1 0.0000 0.0000 0.5000
# Calculated formation energy: 0.52 eV/atom

***

No. 10
# MnFeIr, optimized geometry, DFT PBE
data_MnFeIr
_chemical_formula_sum 'Mn4 Fe4 Ir4'
_cell_length_a 5.5794
_cell_length_b 5.5794
_cell_length_c 5.5794
_cell_angle_alpha 90.00
_cell_angle_beta 90.00
_cell_angle_gamma 90.00
_space_group_name_H-M_alt 'F -4 3 m'
_space_group_IT_number 216
_space_group_name_Hall 'F -4 2 3'
loop_
_atom_site_label
_atom_site_fract_x
_atom_site_fract_y
_atom_site_fract_z
Mn1 0.0000 0.0000 0.0000
Fe1 0.2500 0.2500 0.2500
Ir1 0.0000 0.0000 0.5000
# Calculated formation energy: 0.40 eV/atom
# Energy relative to the lowest polymorph listed for this composition: 496 meV/atom

***

No. 11
# Tl3Cd5Br12, optimized geometry, DFT PBE
data_Tl3Cd5Br12
_chemical_formula_sum 'Tl24 Cd40 Br96'
_cell_length_a 17.9070
_cell_length_b 17.9070
_cell_length_c 17.9070
_cell_angle_alpha 90.00
_cell_angle_beta 90.00
_cell_angle_gamma 90.00
_space_group_name_H-M_alt 'I a -3 d'
_space_group_IT_number 230
_space_group_name_Hall '-I 4bd 2c 3'
loop_
_atom_site_label
_atom_site_fract_x
_atom_site_fract_y
_atom_site_fract_z
Tl1 0.0000 0.2500 0.1250
Cd1 0.0000 0.0000 0.0000
Cd2 0.0000 0.2500 0.3750
Br1 0.0314 0.0556 0.6475
# ΔE_f (raw): -792 meV per atom

***

No. 12
# Li2Sn2Pd, optimized geometry, DFT PBE
data_Li2Sn2Pd
_chemical_formula_sum 'Li4 Sn4 Pd2'
_cell_length_a 7.0092
_cell_length_b 7.0092
_cell_length_c 4.0919
_cell_angle_alpha 90.00
_cell_angle_beta 90.00
_cell_angle_gamma 90.00
_space_group_name_H-M_alt 'P 4/m b m'
_space_group_IT_number 127
_space_group_name_Hall '-P 4 2ab'
loop_
_atom_site_label
_atom_site_fract_x
_atom_site_fract_y
_atom_site_fract_z
Li1 0.1584 0.3416 0.0000
Sn1 0.1473 0.6473 0.5000
Pd1 0.0000 0.0000 0.5000
# Calculated formation energy: -0.36 eV/atom

***

No. 13
# AlPPt, optimized geometry, DFT PBE
data_AlPPt
_chemical_formula_sum 'Al4 P4 Pt4'
_cell_length_a 5.1557
_cell_length_b 6.3884
_cell_length_c 6.2742
_cell_angle_alpha 90.00
_cell_angle_beta 105.54
_cell_angle_gamma 90.00
_space_group_name_H-M_alt 'P 1 21 1'
_space_group_IT_number 4
loop_
_space_group_symop_operation_xyz
'x,y,z'
'-x,y+1/2,-z'
loop_
_atom_site_label
_atom_site_fract_x
_atom_site_fract_y
_atom_site_fract_z
Al1 0.2042 0.0000 0.1862
Al2 0.2799 0.5040 0.4295
P1 0.1599 0.7663 0.6677
P2 0.2605 0.2691 0.9375
Pt1 0.2530 0.1324 0.5740
Pt2 0.2816 0.6448 0.0461
# Calculated formation energy: -0.55 eV/atom

***

No. 14
# NaPmHo4S8, optimized geometry, DFT PBE
data_NaPmHo4S8
_chemical_formula_sum 'Na3 Pm3 Ho12 S24'
_cell_length_a 8.0728
_cell_length_b 8.0728
_cell_length_c 20.0719
_cell_angle_alpha 90.00
_cell_angle_beta 90.00
_cell_angle_gamma 120.00
_space_group_name_H-M_alt 'R 3 m'
_space_group_IT_number 160
_space_group_name_Hall 'R 3 -2"'
loop_
_atom_site_label
_atom_site_fract_x
_atom_site_fract_y
_atom_site_fract_z
Na1 0.0000 0.0000 0.0000
Pm1 0.0000 0.0000 0.3692
Ho1 0.0000 0.0000 0.7476
Ho2 0.0119 0.5060 0.8748
S1 0.0000 0.0000 0.1352
S2 0.0000 0.0000 0.6153
S3 0.0164 0.5082 0.1281
S4 0.1795 0.3591 0.9503
# ΔE_f (raw): -1949 meV per atom

***

No. 15
# Pr4PS3, optimized geometry, DFT PBE
data_Pr4PS3
_chemical_formula_sum 'Pr4 P1 S3'
_cell_length_a 5.8389
_cell_length_b 5.8389
_cell_length_c 5.8389
_cell_angle_alpha 90.00
_cell_angle_beta 90.00
_cell_angle_gamma 90.00
_space_group_name_H-M_alt 'P m -3 m'
_space_group_IT_number 221
_space_group_name_Hall '-P 4 2 3'
loop_
_atom_site_label
_atom_site_fract_x
_atom_site_fract_y
_atom_site_fract_z
Pr1 0.0000 0.0000 0.0000
Pr2 0.0000 0.5000 0.5000
P1 0.5000 0.5000 0.5000
S1 0.0000 0.0000 0.5000
# ΔE_f (raw): -1937 meV per atom

***

No. 16
# Na2MgTiFe, optimized geometry, DFT PBE
data_Na2MgTiFe
_chemical_formula_sum 'Na2 Mg1 Ti1 Fe1'
_cell_length_a 5.4291
_cell_length_b 5.4291
_cell_length_c 4.2063
_cell_angle_alpha 90.00
_cell_angle_beta 90.00
_cell_angle_gamma 90.00
_space_group_name_H-M_alt 'P 4/m m m'
_space_group_IT_number 123
_space_group_name_Hall '-P 4 2'
loop_
_atom_site_label
_atom_site_fract_x
_atom_site_fract_y
_atom_site_fract_z
Na1 0.0000 0.5000 0.0000
Mg1 0.0000 0.0000 0.5000
Ti1 0.5000 0.5000 0.5000
Fe1 0.5000 0.5000 0.0000
# Calculated formation energy: 0.79 eV/atom

***

No. 17
# HfSc3Ni, optimized geometry, DFT PBE
data_HfSc3Ni
_chemical_formula_sum 'Hf1 Sc3 Ni1'
_cell_length_a 5.0804
_cell_length_b 5.0804
_cell_length_c 5.0804
_cell_angle_alpha 90.00
_cell_angle_beta 90.00
_cell_angle_gamma 90.00
_space_group_name_H-M_alt 'P m -3 m'
_space_group_IT_number 221
_space_group_name_Hall '-P 4 2 3'
loop_
_atom_site_label
_atom_site_fract_x
_atom_site_fract_y
_atom_site_fract_z
Hf1 0.0000 0.0000 0.0000
Sc1 0.0000 0.0000 0.5000
Ni1 0.5000 0.5000 0.5000
# Calculated formation energy: 1.15 eV/atom
# Energy relative to the lowest polymorph listed for this composition: 1006 meV/atom

***

No. 18
# Ba2Cd6SnPb, optimized geometry, DFT PBE
data_Ba2Cd6SnPb
_chemical_formula_sum 'Ba8 Cd24 Sn4 Pb4'
_cell_length_a 11.4702
_cell_length_b 11.4702
_cell_length_c 11.4702
_cell_angle_alpha 90.00
_cell_angle_beta 90.00
_cell_angle_gamma 90.00
_space_group_name_H-M_alt 'F m -3 m'
_space_group_IT_number 225
_space_group_name_Hall '-F 4 2 3'
loop_
_atom_site_label
_atom_site_fract_x
_atom_site_fract_y
_atom_site_fract_z
Ba1 0.2500 0.2500 0.2500
Cd1 0.0000 0.0000 0.2466
Sn1 0.0000 0.0000 0.0000
Pb1 0.0000 0.0000 0.5000
# Calculated formation energy: 0.04 eV/atom

***

No. 19
# RbLi3Ca4Br12, optimized geometry, DFT PBE
data_RbLi3Ca4Br12
_chemical_formula_sum 'Rb2 Li6 Ca8 Br24'
_cell_length_a 10.7578
_cell_length_b 10.7578
_cell_length_c 10.7578
_cell_angle_alpha 90.00
_cell_angle_beta 90.00
_cell_angle_gamma 90.00
_space_group_name_H-M_alt 'I m -3'
_space_group_IT_number 204
_space_group_name_Hall '-I 2 2 3'
loop_
_atom_site_label
_atom_site_fract_x
_atom_site_fract_y
_atom_site_fract_z
Rb1 0.0000 0.0000 0.0000
Li1 0.0000 0.0000 0.5000
Ca1 0.2500 0.2500 0.2500
Br1 0.0000 0.3162 0.1712
# ΔE_f (raw): -1823 meV per atom

***

Sequential ρ output: 5.88, 4.17, 6.68, 3.99, 7.45, 1.96, 4.40, 9.54, 8.09, 11.59, 4.94, 5.91, 8.44, 4.77, 5.76, 2.33, 4.71, 5.61, 3.27 g/cm3
Sequential final energy output: -8.33, -3.35, -3.73, -2.66, -4.35, -2.26, -3.96, -5.44, -9.47, -8.43, -2.38, -3.77, -5.61, -6.05, -6.55, -3.33, -5.79, -1.67, -3.56 eV/atom